[1]
GGA-PBE LiTb2Rh, optimized geometry; formation enthalpy at 0 K = -0.34 eV/atom
1.0
2.004 1.157 8.080
-2.004 1.157 8.080
0.000 -2.314 8.080
Li Tb Rh
1 2 1
Direct
0.000 0.000 0.000
0.231 0.231 0.231
0.442 0.442 0.442
0.837 0.837 0.837


[2]
GGA-PBE TaF2, optimized geometry; offset from the most stable computed form = 0.079 eV/atom; formation energy from raw total energies = -6.208 eV/f.u.
1.0
5.178 -1.416 0.000
5.178 1.416 0.000
-1.283 0.000 5.116
Ta F
2 4
Direct
0.172 0.172 0.172
0.828 0.828 0.828
0.028 0.028 0.808
0.343 0.343 0.486
0.657 0.657 0.514
0.972 0.972 0.192


[3]
GGA-PBE Ba2Sr2Ga, optimized geometry; formation enthalpy at 0 K = 0.04 eV/atom; offset from the most stable computed form = 0.000 eV/atom
1.0
8.637 0.000 0.000
0.000 8.637 0.000
0.000 0.000 6.765
Ba Sr Ga
4 4 2
Direct
0.176 0.324 0.000
0.324 0.824 0.000
0.676 0.176 0.000
0.824 0.676 0.000
0.159 0.659 0.500
0.341 0.159 0.500
0.659 0.841 0.500
0.841 0.341 0.500
0.000 0.000 0.500
0.500 0.500 0.500